Entry 1:
Here is a relaxed structure of RbCr3In from Alexandria via LeMat-Bulk. Energies are from PBE.

Summary:
The distance to the lowest polymorph of the same formula is 1017 meV/atom. As for the space group: Pm-3m (221).

Cell and atoms, written as POSCAR:
```
RbCr3In
1.0
5.7900 0.0000 0.0000
0.0000 5.7900 0.0000
0.0000 0.0000 5.7900
Cr Rb In
3 1 1
Cartesian
0.0000 2.8950 0.0000
0.0000 0.0000 2.8950
2.8950 0.0000 0.0000
0.0000 0.0000 0.0000
2.8950 2.8950 2.8950
```

Entry 2:
Here is a relaxed structure of RbCrIn2 from Alexandria via LeMat-Bulk. Energies are from PBE.

Summary:
The distance to the lowest polymorph of the same formula is 0 meV/atom. As for the space group: I4_1/amd (141).

Cell and atoms, written as POSCAR:
```
RbCrIn2
1.0
-5.2935 -2.7869 -0.1487
1.8667 -3.7727 4.2536
-4.9247 2.4723 8.5635
Cr Rb In
2 2 4
Cartesian
-1.7134 -3.2798 2.0524
-2.3857 -2.2901 7.4348
0.0000 0.0000 0.0000
-5.9658 -1.7972 5.2336
-2.9821 -0.8982 2.6168
-2.0503 -2.7854 4.7436
-4.5116 -1.5493 9.0260
-7.1589 -2.9417 8.9504
```

Entry 3:
Here is a relaxed structure of RbCrIn2 from Alexandria via LeMat-Bulk. Energies are from PBE.

Summary:
The distance to the lowest polymorph of the same formula is 50 meV/atom. As for the space group: Fm-3m (225).

Cell and atoms, written as POSCAR:
```
RbCrIn2
1.0
2.4064 -4.1924 2.4965
2.7281 0.7982 4.6390
-2.0041 -1.8856 4.6934
Cr Rb In
1 1 2
Cartesian
0.0000 0.0000 0.0000
1.5652 -2.6399 5.9144
0.7826 -1.3200 2.9572
2.3478 -3.9599 8.8717
```

Entry 4:
Here is a relaxed structure of RbCr3In from Alexandria via LeMat-Bulk. Energies are from PBE.

Summary:
The distance to the lowest polymorph of the same formula is 0 meV/atom. As for the space group: Pm-3m (221).

Cell and atoms, written as POSCAR:
```
RbCr3In
1.0
5.4195 0.0000 0.0000
0.0000 5.4195 0.0000
0.0000 0.0000 5.4195
Cr Rb In
3 1 1
Cartesian
0.0000 2.7097 0.0000
0.0000 0.0000 2.7097
2.7097 0.0000 0.0000
2.7097 2.7097 2.7097
0.0000 0.0000 0.0000
```

Entry 5:
Here is a relaxed structure of Rb2CrInS4 from Alexandria via LeMat-Bulk. Energies are from PBE.

Summary:
For the raw formation energy, the calculation gives -5.96 eV/f.u. As for the space group: Imma (74).

Cell and atoms, written as POSCAR:
```
Rb2CrInS4
1.0
-7.6421 2.3331 1.5431
0.5062 -3.2934 7.4246
5.3728 5.4520 -2.2281
Rb Cr In S
4 2 2 8
Cartesian
-3.8211 1.1665 0.7716
-1.1347 3.8925 -0.3424
2.6864 2.7260 -1.1140
-3.5680 -0.4801 4.4838
0.2531 -1.6467 3.7123
-4.7027 3.4124 4.1414
-0.8815 2.2459 3.3698
-2.2693 7.7851 -0.6849
4.0640 3.2233 3.4254
-2.8993 3.8277 2.3745
1.1362 0.6641 4.3651
-5.8273 1.2685 3.3143
-0.4057 4.7316 4.3863
-2.7464 2.3563 5.3569
0.9833 2.1354 1.3828
-1.3574 -0.2399 2.3534
```

Entry 6:
Here is a relaxed structure of Rb2CrInSb from Alexandria via LeMat-Bulk. Energies are from PBE.

Summary:
For the raw formation energy, the calculation gives 3.51 eV/f.u. As for the space group: P4/mmm (123).

Cell and atoms, written as POSCAR:
```
Rb2CrInSb
1.0
-6.3564 1.5472 -1.2925
-1.1562 -5.1880 -0.5241
-1.4073 -0.3439 6.5092
Sb Cr Rb In
1 1 2 1
Cartesian
-4.4600 -1.9924 2.3462
-0.5781 -2.5940 -0.2621
-0.7037 -0.1720 3.2546
-3.1782 0.7736 -0.6463
0.0000 0.0000 0.0000
```